--- one ---
## Eu2ErCd (PBE)

Data for a geometry-optimized Eu2ErCd structure.

Lattice parameters (Å, degrees): 5.049 5.018 5.018 90.00 90.00 90.00
Positions (direct):
Eu (0.000, 0.000, 0.500)
Eu (0.000, 0.500, 0.000)
Cd (0.500, 0.000, 0.000)
Er (0.500, 0.500, 0.500)

Computed properties:
total magnetization	15.11	μB per cell

***

--- two ---
## Eu2ErCd (PBE)

Data for a geometry-optimized Eu2ErCd structure.

Lattice parameters (Å, degrees): 3.784 3.784 9.261 90.00 90.00 90.00
Positions (direct):
Eu (0.000, 0.000, 0.778)
Eu (0.000, 0.000, 0.222)
Cd (0.500, 0.500, 0.000)
Er (0.500, 0.500, 0.500)

Computed properties:
total magnetization	15.47	μB per cell

***

Which of them is the most stable? Correct choice: two.

***

--- one ---
## Er2CdFe (PBE)

Data for a geometry-optimized Er2CdFe structure.

Lattice parameters (Å, degrees): 5.015 5.015 5.015 60.00 60.00 60.00
Positions (direct):
Cd (0.500, 0.500, 0.500)
Fe (0.000, 0.000, 0.000)
Er (0.250, 0.250, 0.250)
Er (0.750, 0.750, 0.750)

Computed properties:
total magnetization	1.58	μB per cell

***

--- two ---
## Er2CdFe (PBE)

Data for a geometry-optimized Er2CdFe structure.

Lattice parameters (Å, degrees): 3.507 5.073 5.073 90.00 90.00 90.00
Positions (direct):
Cd (0.500, 0.000, 0.000)
Fe (0.500, 0.500, 0.500)
Er (0.000, 0.000, 0.500)
Er (0.000, 0.500, 0.000)

Computed properties:
total magnetization	1.63	μB per cell

***

--- three ---
## Er2CdFe (PBE)

Data for a geometry-optimized Er2CdFe structure.

Lattice parameters (Å, degrees): 3.349 3.349 7.734 90.00 90.00 90.00
Positions (direct):
Cd (0.500, 0.500, 0.500)
Fe (0.500, 0.500, 0.000)
Er (0.000, 0.000, 0.794)
Er (0.000, 0.000, 0.206)

Computed properties:
total magnetization	0.00	μB per cell

***

--- four ---
## Er2CdFe (PBE)

Data for a geometry-optimized Er2CdFe structure.

Lattice parameters (Å, degrees): 3.517 3.517 10.129 80.00 80.00 60.00
Positions (direct):
Cd (0.000, 0.000, 0.000)
Fe (0.500, 0.500, 0.500)
Er (0.109, 0.109, 0.673)
Er (0.891, 0.891, 0.327)

Computed properties:
total magnetization	0.74	μB per cell

***

Which of them is the most stable? Correct choice: three.

***

--- one ---
## Er3CdFe (PBE)

Data for a geometry-optimized Er3CdFe structure.

Lattice parameters (Å, degrees): 5.852 5.852 9.090 67.00 67.00 64.04
Positions (direct):
Er (0.308, 0.308, 0.879)
Er (0.692, 0.692, 0.121)
Er (0.026, 0.026, 0.778)
Er (0.974, 0.974, 0.222)
Er (0.699, 0.699, 0.689)
Er (0.301, 0.301, 0.311)
Cd (0.722, 0.278, 0.500)
Cd (0.278, 0.722, 0.500)
Fe (0.315, 0.685, 0.000)
Fe (0.685, 0.315, 0.000)

Computed properties:
total magnetization	1.75	μB per cell

***

--- two ---
## Er3CdFe (PBE)

Data for a geometry-optimized Er3CdFe structure.

Lattice parameters (Å, degrees): 5.113 5.113 5.113 90.00 90.00 90.00
Positions (direct):
Cd (0.500, 0.500, 0.500)
Fe (0.000, 0.000, 0.000)
Er (0.000, 0.500, 0.000)
Er (0.000, 0.000, 0.500)
Er (0.500, 0.000, 0.000)

Computed properties:
total magnetization	0.00	μB per cell

***

Which of them is the most stable? Correct choice: one.

***

--- one ---
## ErCdGa (PBE)

Data for a geometry-optimized ErCdGa structure.

Lattice parameters (Å, degrees): 7.205 7.205 4.386 90.00 90.00 120.00
Positions (direct):
Er (0.425, 0.425, 0.500)
Er (0.575, 0.000, 0.500)
Er (0.000, 0.575, 0.500)
Cd (0.750, 0.750, 0.000)
Cd (0.250, 0.000, 0.000)
Cd (0.000, 0.250, 0.000)
Ga (0.667, 0.333, 0.000)
Ga (0.333, 0.667, 0.000)
Ga (0.000, 0.000, 0.500)

Computed properties:
total magnetization	0.00	μB per cell

***

--- two ---
## ErCdGa (PBE)

Data for a geometry-optimized ErCdGa structure.

Lattice parameters (Å, degrees): 4.460 5.767 6.089 74.91 68.52 67.25
Positions (direct):
Er (0.447, 0.298, 0.808)
Er (0.553, 0.702, 0.192)
Cd (0.830, 0.746, 0.593)
Cd (0.170, 0.254, 0.407)
Ga (0.847, 0.144, 0.163)
Ga (0.153, 0.856, 0.837)

Computed properties:
total magnetization	0.00	μB per cell

***

--- three ---
## ErCdGa (PBE)

Data for a geometry-optimized ErCdGa structure.

Lattice parameters (Å, degrees): 3.543 4.644 4.644 120.00 90.00 90.00
Positions (direct):
Cd (0.167, 0.333, 0.667)
Ga (0.167, 0.000, 0.000)
Er (0.667, 0.667, 0.333)

Computed properties:
total magnetization	0.00	μB per cell

***

--- four ---
## ErCdGa (PBE)

Data for a geometry-optimized ErCdGa structure.

Lattice parameters (Å, degrees): 4.681 4.681 4.681 60.00 60.00 60.00
Positions (direct):
Cd (0.500, 0.500, 0.500)
Ga (0.250, 0.250, 0.250)
Er (0.000, 0.000, 0.000)

Computed properties:
total magnetization	0.00	μB per cell

***

Which of them is the most stable? Correct choice: one.

***

--- one ---
## ErCdGa (PBE)

Data for a geometry-optimized ErCdGa structure.

Lattice parameters (Å, degrees): 4.634 4.634 8.234 73.66 73.66 60.00
Positions (direct):
Ga (0.075, 0.075, 0.776)
Ga (0.925, 0.925, 0.224)
Cd (0.632, 0.632, 0.103)
Cd (0.368, 0.368, 0.897)
Er (0.214, 0.214, 0.359)
Er (0.786, 0.786, 0.641)

Computed properties:
total magnetization	0.00	μB per cell

***

--- two ---
## ErCdGa (PBE)

Data for a geometry-optimized ErCdGa structure.

Lattice parameters (Å, degrees): 3.352 3.352 6.422 105.13 105.13 90.00
Positions (direct):
Er (0.939, 0.939, 0.879)
Ga (0.281, 0.281, 0.563)
Cd (0.629, 0.629, 0.258)

Computed properties:
total magnetization	0.17	μB per cell

***

Which of them is the most stable? Correct choice: two.

***

--- one ---
## Er4CdGa2 (PBE)

Data for a geometry-optimized Er4CdGa2 structure.

Lattice parameters (Å, degrees): 4.962 4.962 9.343 74.60 74.60 60.00
Positions (direct):
Er (0.382, 0.382, 0.855)
Er (0.206, 0.206, 0.381)
Er (0.794, 0.794, 0.619)
Er (0.618, 0.618, 0.145)
Cd (0.000, 0.000, 0.000)
Ga (0.098, 0.098, 0.705)
Ga (0.902, 0.902, 0.295)

Computed properties:
total magnetization	0.00	μB per cell

***

--- two ---
## Er4CdGa2 (PBE)

Data for a geometry-optimized Er4CdGa2 structure.

Lattice parameters (Å, degrees): 5.029 5.029 8.600 73.00 73.00 60.00
Positions (direct):
Cd (0.000, 0.000, 0.000)
Ga (0.748, 0.748, 0.755)
Ga (0.252, 0.252, 0.245)
Er (0.870, 0.870, 0.391)
Er (0.130, 0.130, 0.609)
Er (0.617, 0.617, 0.149)
Er (0.383, 0.383, 0.851)

Computed properties:
total magnetization	0.00	μB per cell

***

Which of them is the most stable? Correct choice: two.

***

--- one ---
## HoErCdGa (PBE)

Data for a geometry-optimized HoErCdGa structure.

Lattice parameters (Å, degrees): 5.142 5.142 5.142 60.00 60.00 60.00
Positions (direct):
Cd (0.250, 0.250, 0.250)
Ho (0.000, 0.000, 0.000)
Ga (0.750, 0.750, 0.750)
Er (0.500, 0.500, 0.500)

Computed properties:
total magnetization	0.00	μB per cell

***

--- two ---
## HoErCdGa (PBE)

Data for a geometry-optimized HoErCdGa structure.

Lattice parameters (Å, degrees): 3.604 3.604 7.381 90.00 90.00 90.00
Positions (direct):
Ho (0.000, 0.000, 0.841)
Er (0.000, 0.000, 0.372)
Cd (0.500, 0.500, 0.109)
Ga (0.500, 0.500, 0.605)

Computed properties:
total magnetization	0.00	μB per cell

***

Which of them is the most stable? Correct choice: two.

***

--- one ---
## LaErCdGa (PBE)

Data for a geometry-optimized LaErCdGa structure.

Lattice parameters (Å, degrees): 3.670 3.670 7.736 90.00 90.00 90.00
Positions (direct):
La (0.500, 0.500, 0.127)
Er (0.500, 0.500, 0.590)
Cd (0.000, 0.000, 0.830)
Ga (0.000, 0.000, 0.380)

Computed properties:
total magnetization	0.00	μB per cell

***

--- two ---
## LaErCdGa (PBE)

Data for a geometry-optimized LaErCdGa structure.

Lattice parameters (Å, degrees): 5.307 5.307 5.307 60.00 60.00 60.00
Positions (direct):
Cd (0.250, 0.250, 0.250)
La (0.500, 0.500, 0.500)
Ga (0.750, 0.750, 0.750)
Er (0.000, 0.000, 0.000)

Computed properties:
total magnetization	0.00	μB per cell

***

Which of them is the most stable? Correct choice: one.

***

--- one ---
## PmErCdGa (PBE)

Data for a geometry-optimized PmErCdGa structure.

Lattice parameters (Å, degrees): 3.645 3.645 7.548 90.00 90.00 90.00
Positions (direct):
Pm (0.000, 0.000, 0.840)
Er (0.000, 0.000, 0.372)
Cd (0.500, 0.500, 0.122)
Ga (0.500, 0.500, 0.593)

Computed properties:
total magnetization	0.00	μB per cell

***

--- two ---
## PmErCdGa (PBE)

Data for a geometry-optimized PmErCdGa structure.

Lattice parameters (Å, degrees): 5.223 5.223 5.223 60.00 60.00 60.00
Positions (direct):
Cd (0.000, 0.000, 0.000)
Pm (0.250, 0.250, 0.250)
Ga (0.500, 0.500, 0.500)
Er (0.750, 0.750, 0.750)

Computed properties:
total magnetization	0.00	μB per cell

***

Which of them is the most stable? Correct choice: one.

***

--- one ---
## ErScCdGa (PBE)

Data for a geometry-optimized ErScCdGa structure.

Lattice parameters (Å, degrees): 3.507 3.507 7.183 90.00 90.00 90.00
Positions (direct):
Er (0.000, 0.000, 0.840)
Sc (0.000, 0.000, 0.373)
Cd (0.500, 0.500, 0.125)
Ga (0.500, 0.500, 0.591)

Computed properties:
total magnetization	0.00	μB per cell

***

--- two ---
## ErScCdGa (PBE)

Data for a geometry-optimized ErScCdGa structure.

Lattice parameters (Å, degrees): 5.003 5.003 5.003 60.00 60.00 60.00
Positions (direct):
Sc (0.750, 0.750, 0.750)
Cd (0.000, 0.000, 0.000)
Ga (0.500, 0.500, 0.500)
Er (0.250, 0.250, 0.250)

Computed properties:
total magnetization	0.00	μB per cell

***

Which of them is the most stable? Correct choice: one.

***

--- one ---
## SmErCdGa (PBE)

Data for a geometry-optimized SmErCdGa structure.

Lattice parameters (Å, degrees): 3.639 3.639 7.517 90.00 90.00 90.00
Positions (direct):
Sm (0.500, 0.500, 0.124)
Er (0.500, 0.500, 0.592)
Cd (0.000, 0.000, 0.844)
Ga (0.000, 0.000, 0.369)

Computed properties:
total magnetization	0.00	μB per cell

***

--- two ---
## SmErCdGa (PBE)

Data for a geometry-optimized SmErCdGa structure.

Lattice parameters (Å, degrees): 5.209 5.209 5.209 60.00 60.00 60.00
Positions (direct):
Cd (0.000, 0.000, 0.000)
Ga (0.500, 0.500, 0.500)
Sm (0.250, 0.250, 0.250)
Er (0.750, 0.750, 0.750)

Computed properties:
total magnetization	0.00	μB per cell

***

Which of them is the most stable? Correct choice: one.

***

--- one ---
## YErCdGa (PBE)

Data for a geometry-optimized YErCdGa structure.

Lattice parameters (Å, degrees): 5.158 5.158 5.158 60.00 60.00 60.00
Positions (direct):
Y (0.750, 0.750, 0.750)
Cd (0.500, 0.500, 0.500)
Ga (0.000, 0.000, 0.000)
Er (0.250, 0.250, 0.250)

Computed properties:
total magnetization	0.00	μB per cell

***

--- two ---
## YErCdGa (PBE)

Data for a geometry-optimized YErCdGa structure.

Lattice parameters (Å, degrees): 3.619 3.619 7.394 90.00 90.00 90.00
Positions (direct):
Y (0.000, 0.000, 0.372)
Er (0.000, 0.000, 0.842)
Cd (0.500, 0.500, 0.102)
Ga (0.500, 0.500, 0.611)

Computed properties:
total magnetization	0.00	μB per cell

***

Which of them is the most stable? Correct choice: two.